# 1
BaCoRe2 | GGA-PBE | relaxed Values from VASP.

Calculated density: 12.94 g/cm³
Crystal system: orthorhombic
E_tot: -7.46 eV/atom
Magnetization: 0.98 μB/f.u.
Space group: Immm
Formation energy from the elements: 1.018 eV/atom

Geometry as Quantum ESPRESSO input:
```
&SYSTEM
  ibrav = 0, nat = 4, ntyp = 3
/
ATOMIC_SPECIES
Co 58.93 Co.upf
Re 186.21 Re.upf
Ba 137.33 Ba.upf
CELL_PARAMETERS angstrom
-2.2266 -5.2409 -2.0778
3.2052 -4.2605 -2.8837
-1.3121 3.4511 4.8073
ATOMIC_POSITIONS crystal
Co 0.2500 0.7500 0.5000
Re 0.4607 0.4607 0.0000
Re 0.0393 0.0393 0.0000
Ba 0.7500 0.2500 0.5000
```

---

# 2
Pm6NdNi3 | GGA-PBE | relaxed Values from VASP.

Calculated density: 7.28 g/cm³
Crystal system: orthorhombic
E_tot: -5.22 eV/atom
Magnetization: 0.00 μB/f.u.
Space group: Cmc2_1
Formation energy from the elements: -0.157 eV/atom

Geometry as Quantum ESPRESSO input:
```
&SYSTEM
  ibrav = 0, nat = 20, ntyp = 3
/
ATOMIC_SPECIES
Ni 58.69 Ni.upf
Nd 144.24 Nd.upf
Pm 145.00 Pm.upf
CELL_PARAMETERS angstrom
7.1731 0.0000 0.0000
0.0000 8.6167 -1.5277
0.0000 0.2037 8.7488
ATOMIC_POSITIONS crystal
Ni 0.4562 0.9112 0.7075
Ni 0.4562 0.2925 0.0888
Ni 0.3772 0.4224 0.5776
Ni 0.9562 0.0888 0.2925
Ni 0.9562 0.7075 0.9112
Ni 0.8772 0.5776 0.4224
Nd 0.5447 0.6770 0.3230
Nd 0.0447 0.3230 0.6770
Pm 0.6623 0.9674 0.0326
Pm 0.6711 0.6285 0.7073
Pm 0.6711 0.2927 0.3715
Pm 0.1711 0.7073 0.6285
Pm 0.8192 0.4169 0.0332
Pm 0.5082 0.2279 0.7721
Pm 0.0082 0.7721 0.2279
Pm 0.1711 0.3715 0.2927
Pm 0.8192 0.9668 0.5831
Pm 0.3192 0.5831 0.9668
Pm 0.3192 0.0332 0.4169
Pm 0.1623 0.0326 0.9674
```

---

# 3
Os3Rh2 | GGA-PBE | relaxed Values from VASP.

Calculated density: 17.80 g/cm³
Crystal system: orthorhombic
E_tot: -9.44 eV/atom
Magnetization: 0.00 μB/f.u.
Space group: Fdd2
Formation energy from the elements: 0.240 eV/atom

Geometry as Quantum ESPRESSO input:
```
&SYSTEM
  ibrav = 0, nat = 10, ntyp = 2
/
ATOMIC_SPECIES
Rh 102.91 Rh.upf
Os 190.23 Os.upf
CELL_PARAMETERS angstrom
1.8077 4.3154 6.6210
-1.2738 6.3037 3.0025
-1.5227 -1.6320 4.6434
ATOMIC_POSITIONS crystal
Rh 0.7056 0.8925 0.3414
Rh 0.0604 0.3414 0.8925
Rh 0.3575 0.5444 0.1896
Rh 0.9086 0.1896 0.5444
Os 0.1741 0.3259 0.3259
Os 0.3434 0.4658 0.7243
Os 0.4665 0.7243 0.4658
Os 0.9241 0.0759 0.0759
Os 0.5257 0.7835 0.9066
Os 0.7842 0.9066 0.7835
```

---

# 4
TaMnCu2 | GGA-PBE | relaxed Values from VASP.

Calculated density: 10.94 g/cm³
Crystal system: monoclinic
E_tot: -7.13 eV/atom
Magnetization: 2.27 μB/f.u.
Space group: P2/m
Formation energy from the elements: 0.170 eV/atom

Geometry as Quantum ESPRESSO input:
```
&SYSTEM
  ibrav = 0, nat = 4, ntyp = 3
/
ATOMIC_SPECIES
Mn 54.94 Mn.upf
Cu 63.55 Cu.upf
Ta 180.95 Ta.upf
CELL_PARAMETERS angstrom
3.8630 0.0000 0.0000
0.0000 2.7210 0.2669
0.0000 2.1972 5.4557
ATOMIC_POSITIONS crystal
Mn 0.5000 0.2500 0.2500
Cu 0.0000 0.5115 0.4887
Cu 0.0000 0.9885 0.0113
Ta 0.5000 0.7500 0.7500
```

---

# 5
CuSn2BiAu | GGA-PBE | relaxed Values from VASP.

Calculated density: 7.31 g/cm³
Crystal system: tetragonal
E_tot: -3.18 eV/atom
Magnetization: 0.00 μB/f.u.
Space group: P4/mmm
Formation energy from the elements: 0.671 eV/atom

Geometry as Quantum ESPRESSO input:
```
&SYSTEM
  ibrav = 0, nat = 5, ntyp = 4
/
ATOMIC_SPECIES
Sn 118.71 Sn.upf
Cu 63.55 Cu.upf
Bi 208.98 Bi.upf
Au 196.97 Au.upf
CELL_PARAMETERS angstrom
-2.2952 -4.0641 2.4996
1.1844 -3.4051 -4.4487
4.6439 -1.2661 2.2055
ATOMIC_POSITIONS crystal
Sn 0.5000 0.0000 0.0000
Sn 0.0000 0.0000 0.5000
Cu 0.5000 0.5000 0.5000
Bi 0.0000 0.5000 0.0000
Au 0.0000 0.0000 0.0000
```

---

# 6
TaAlPb2 | GGA-PBE | relaxed Values from VASP.

Calculated density: 10.97 g/cm³
Crystal system: tetragonal
E_tot: -5.23 eV/atom
Magnetization: 0.00 μB/f.u.
Space group: P4/mmm
Formation energy from the elements: 0.522 eV/atom

Geometry as Quantum ESPRESSO input:
```
&SYSTEM
  ibrav = 0, nat = 4, ntyp = 3
/
ATOMIC_SPECIES
Al 26.98 Al.upf
Pb 207.20 Pb.upf
Ta 180.95 Ta.upf
CELL_PARAMETERS angstrom
3.1996 0.0000 0.0000
0.0000 3.1996 0.0000
0.0000 0.0000 9.2013
ATOMIC_POSITIONS crystal
Al 0.5000 0.5000 0.7500
Pb 0.0000 0.0000 0.4905
Pb 0.0000 0.0000 0.0095
Ta 0.5000 0.5000 0.2500
```

---

# 7
CeHoEr14 | GGA-PBE | relaxed Values from VASP.

Calculated density: 9.00 g/cm³
Crystal system: tetragonal
E_tot: -4.62 eV/atom
Magnetization: 0.86 μB/f.u.
Space group: P4/mmm
Formation energy from the elements: 0.030 eV/atom

Geometry as Quantum ESPRESSO input:
```
&SYSTEM
  ibrav = 0, nat = 16, ntyp = 3
/
ATOMIC_SPECIES
Er 167.26 Er.upf
Ho 164.93 Ho.upf
Ce 140.12 Ce.upf
CELL_PARAMETERS angstrom
-3.7349 4.7770 -3.5241
-2.4891 -5.0405 -4.1936
-7.6252 -1.3902 6.1970
ATOMIC_POSITIONS crystal
Er 0.6258 0.8758 0.7498
Er 0.3750 0.1250 0.5000
Er 0.1242 0.8758 0.7498
Er 0.1242 0.3742 0.2502
Er 0.8750 0.6249 0.0000
Er 0.3751 0.1250 0.0000
Er 0.8750 0.1250 0.5000
Er 0.8750 0.6250 0.5000
Er 0.6258 0.8758 0.2502
Er 0.1242 0.8758 0.2502
Er 0.6258 0.3742 0.7498
Er 0.1242 0.3742 0.7498
Er 0.3750 0.6250 0.5000
Er 0.6258 0.3742 0.2502
Ho 0.3750 0.6250 0.0000
Ce 0.8751 0.1249 0.0000
```

---

# 8
K2SN | GGA-PBE | relaxed Values from VASP.

Calculated density: 1.80 g/cm³
Crystal system: tetragonal
E_tot: -3.51 eV/atom
Raw formation energy: 0.149 eV/atom
Magnetization: 0.46 μB/f.u.
Space group: I-42d

Geometry as Quantum ESPRESSO input:
```
&SYSTEM
  ibrav = 0, nat = 8, ntyp = 3
/
ATOMIC_SPECIES
S 32.06 S.upf
K 39.10 K.upf
N 14.01 N.upf
CELL_PARAMETERS angstrom
-1.6651 4.5233 -9.9890
-0.1722 -10.1131 -4.5508
-2.7647 -2.8838 -7.0024
ATOMIC_POSITIONS crystal
S 0.0000 0.0000 0.0000
S 0.7500 0.2500 0.5000
K 0.3750 0.6190 0.7500
K 0.3690 0.6250 0.2500
K 0.3810 0.1250 0.2500
K 0.8750 0.6310 0.7500
N 0.5000 0.5000 0.0000
N 0.2500 0.7500 0.5000
```

---

Copy entry 6 word for word.
TaAlPb2 | GGA-PBE | relaxed Values from VASP.

Calculated density: 10.97 g/cm³
Crystal system: tetragonal
E_tot: -5.23 eV/atom
Magnetization: 0.00 μB/f.u.
Space group: P4/mmm
Formation energy from the elements: 0.522 eV/atom

Geometry as Quantum ESPRESSO input:
```
&SYSTEM
  ibrav = 0, nat = 4, ntyp = 3
/
ATOMIC_SPECIES
Al 26.98 Al.upf
Pb 207.20 Pb.upf
Ta 180.95 Ta.upf
CELL_PARAMETERS angstrom
3.1996 0.0000 0.0000
0.0000 3.1996 0.0000
0.0000 0.0000 9.2013
ATOMIC_POSITIONS crystal
Al 0.5000 0.5000 0.7500
Pb 0.0000 0.0000 0.4905
Pb 0.0000 0.0000 0.0095
Ta 0.5000 0.5000 0.2500
```

---

The highest E_tot belongs to which entry? CuSn2BiAu

---

The lowest calculated density belongs to which entry? K2SN